NiHg3Br2F6 after structural relaxation. Source: Alexandria, functional PBE+U.

Results
Total magnetic moment: 2.0 μB per cell
Energy: -2.8147 eV per atom
Calculated density: 6.4 g cm⁻³

Geometry as extended XYZ:
```
12
Lattice="5.7852 -3.5329 0.0000 5.7852 3.5329 0.0000 -0.3009 0.0000 5.9476" Properties=species:S:1:pos:R:3 pbc="T T T"
Ni 0.0000 0.0000 0.0000
Hg 2.8926 1.7665 0.0000
Hg 2.8926 -1.7665 0.0000
Hg 5.6348 0.0000 2.9738
Br 3.2671 0.0000 3.7172
Br 8.0025 0.0000 2.2304
F 4.8550 2.0072 1.0563
F 1.6976 0.0000 1.0739
F 6.4146 2.0072 4.8913
F 4.8550 -2.0072 1.0563
F 9.5719 0.0000 4.8737
F 6.4146 -2.0072 4.8913
```